Record 1
First-principles (PBE) data for crystalline Pm4Pb2S at its relaxed geometry, as listed in the Alexandria database.

Lattice parameters (Å, degrees): 5.233 5.233 16.576 90.00 90.00 90.00
Space group I4/mmm (No. 139)
Inequivalent atoms, fractional coordinates:
Pm (0.000, 0.000, 0.168) (multiplicity 4)
Pm (0.000, 0.500, 0.000) (multiplicity 4)
Pb (0.000, 0.000, 0.363) (multiplicity 4)
S (0.000, 0.000, 0.000) (multiplicity 2)

Computed properties:
The calculation puts the density of states at the Fermi level at 0.614 states/eV per atom. For the energy above the lowest structure with this stoichiometry, the calculation gives 0 meV/atom. The value obtained for the uncorrected formation energy is -0.7907 eV per atom. The value obtained for the density is 7.51 g/cm3. As for the electronic total energy: -5.155 eV/atom.

Record 2
First-principles (PBE) data for crystalline PmPbS2 at its relaxed geometry, as listed in the Alexandria database.

Lattice parameters (Å, degrees): 4.0569 4.0569 26.2398 90.00 90.00 120.00
Space group R-3m (No. 166, hexagonal axes)
Inequivalent atoms, fractional coordinates:
Pm (0.0000, 0.0000, 0.0000) (multiplicity 3)
Pb (0.0000, 0.0000, 0.5000) (multiplicity 3)
S (0.0000, 0.0000, 0.3918) (multiplicity 6)

Computed properties:
The calculation puts the density of states at the Fermi level at 0.350 states/eV per atom. The value obtained for the uncorrected formation energy is -1.2471 eV per atom. The value obtained for the density is 5.55 g/cm3. As for the electronic total energy: -5.426 eV/atom.

Copy entry 2 word for word.
First-principles (PBE) data for crystalline PmPbS2 at its relaxed geometry, as listed in the Alexandria database.

Lattice parameters (Å, degrees): 4.0569 4.0569 26.2398 90.00 90.00 120.00
Space group R-3m (No. 166, hexagonal axes)
Inequivalent atoms, fractional coordinates:
Pm (0.0000, 0.0000, 0.0000) (multiplicity 3)
Pb (0.0000, 0.0000, 0.5000) (multiplicity 3)
S (0.0000, 0.0000, 0.3918) (multiplicity 6)

Computed properties:
The calculation puts the density of states at the Fermi level at 0.350 states/eV per atom. The value obtained for the uncorrected formation energy is -1.2471 eV per atom. The value obtained for the density is 5.55 g/cm3. As for the electronic total energy: -5.426 eV/atom.